# PBE with a Hubbard U MnHgN2O, relaxed
# * total energy: -4.25 eV per atom
# * total magnetization: 2.640 μB per formula unit
data_MnHgN2O
_chemical_formula_sum 'Mn1 Hg1 N2 O1'
_space_group_name_H-M_alt 'P 4/m m m'
_space_group_IT_number 123
_space_group_name_Hall '-P 4 2'
_cell_length_a 4.2126
_cell_length_b 4.2126
_cell_length_c 4.3059
_cell_angle_alpha 90.00
_cell_angle_beta 90.00
_cell_angle_gamma 90.00
loop_
_atom_site_label
_atom_site_fract_x
_atom_site_fract_y
_atom_site_fract_z
Mn1 0.0000 0.0000 0.0000
Hg1 0.5000 0.5000 0.5000
N1 0.0000 0.5000 0.5000
O1 0.5000 0.5000 0.0000